Density functional theory data (PBE-GGA) for an optimized crystal structure of Ce2Ho5Er12.

Output
E above lowest polymorph, meV per atom: 0
ΔH_f (0 K), eV/atom: 0.1393
DFT total energy, eV/cell: -173.73

a b c (Å): 17.436 11.479 6.031
angles (deg): 90.00 103.03 90.00
Space group C2/m (No. 12)
Symmetry-distinct sites (fractional):
Ce (0.000, 0.224, 0.000)
Ho (0.000, 0.000, 0.500)
Ho (0.176, 0.500, 0.862)
Ho (0.214, 0.000, 0.552)
Er (0.059, 0.500, 0.279)
Er (0.102, 0.250, 0.616)
Er (0.119, 0.000, 0.002)
Er (0.199, 0.254, 0.206)

=====

Density functional theory data (PBE-GGA) for an optimized crystal structure of CeHo3Er7.

Output
ΔH_f (0 K), eV/atom: 0.2074
DFT total energy, eV/cell: -49.33

a b c (Å): 6.9624 6.9624 8.5237
angles (deg): 90.00 90.00 120.00
Space group P3m1 (No. 156)
Symmetry-distinct sites (fractional):
Ce (0.0000, 0.0000, 0.0000)
Ho (0.1655, 0.3309, 0.6664)
Er (0.0012, 0.5006, 0.9998)
Er (0.3290, 0.1645, 0.3290)
Er (0.3333, 0.6667, 0.3320)

=====

Density functional theory data (PBE-GGA) for an optimized crystal structure of Ce2Ho5Er4.

Output
E above lowest polymorph, meV per atom: 0
ΔH_f (0 K), eV/atom: 0.1047
DFT total energy, eV/cell: -51.86

a b c (Å): 3.471 8.648 11.557
angles (deg): 83.03 81.39 89.99
Space group P-1 (No. 2)
Symmetry-distinct sites (fractional):
Ce (0.187, 0.436, 0.126)
Ho (0.036, 0.348, 0.426)
Ho (0.236, 0.822, 0.027)
Ho (0.500, 0.000, 0.500)
Er (0.130, 0.054, 0.239)
Er (0.401, 0.301, 0.699)

=====

Density functional theory data (PBE-GGA) for an optimized crystal structure of CeHo10Er4.

Output
ΔH_f (0 K), eV/atom: 0.7555
DFT total energy, eV/cell: -117.26

a b c (Å): 12.033 12.033 7.599
angles (deg): 90.00 90.00 90.00
Space group I4/m (No. 87)
Symmetry-distinct sites (fractional):
Ce (0.000, 0.000, 0.000)
Ho (0.000, 0.500, 0.250)
Ho (0.099, 0.199, 0.249)
Er (0.101, 0.700, 0.500)